A geometry-optimized CaAcEuHo structure. Source: Alexandria, functional GGA-PBE.

symmetry	No. 216
calculated formation energy	112.1	meV per atom
density of states at the Fermi level	5.22	states/eV per cell

a = 6.065 Å, b = 6.065 Å, c = 6.065 Å
α = 60.00°, β = 60.00°, γ = 60.00°
Last column: magnetic moment on the atom in μB.
Fractional coordinates of all 4 atoms:
Ho: 0.000 0.000 0.000  0.03
Eu: 0.750 0.750 0.750  6.87
Ac: 0.250 0.250 0.250  0.01
Ca: 0.500 0.500 0.500  0.01